Below is an optimized crystal structure of CaMg3Au, with properties calculated at the GGA-PBE level.

* magnetic moment: 0.00 Bohr magnetons per cell
* formation energy from the elements: -0.22 eV per atom
* V: 27.58 A^3/atom
* ΔE to the lowest computed polymorph: 70 kJ/mol of formula units
* calculated total energy: -2.23 eV per atom

Cell: 5.167 5.167 5.167 Å, 90.00 90.00 90.00°
Positions (direct):
Mg: 0.000 0.000 0.500
Ca: 0.500 0.500 0.500
Mg: 0.000 0.500 0.000
Au: 0.000 0.000 0.000
Mg: 0.500 0.000 0.000

Below is an optimized crystal structure of Ca2MgAu2, with properties calculated at the GGA-PBE level.

* magnetic moment: 0.00 Bohr magnetons per cell
* formation energy from the elements: -0.68 eV per atom
* V: 25.14 A^3/atom
* calculated total energy: -3.11 eV per atom

Cell: 4.426 6.362 9.797 Å, 82.21 76.94 69.64°
Positions (direct):
Ca: 0.485 0.353 0.678
Mg: 0.787 0.058 0.369
Au: 0.863 0.702 0.573
Au: 0.137 0.298 0.427
Au: 0.025 0.831 0.119
Mg: 0.213 0.942 0.631
Ca: 0.318 0.261 0.102
Ca: 0.515 0.647 0.322
Ca: 0.682 0.739 0.898
Au: 0.975 0.169 0.881

Below is an optimized crystal structure of Ca4Mg3Au, with properties calculated at the GGA-PBE level.

* magnetic moment: 0.00 Bohr magnetons per cell
* formation energy from the elements: -0.26 eV per atom
* V: 29.20 A^3/atom
* calculated total energy: -2.27 eV per atom

Cell: 3.729 3.729 16.800 Å, 90.00 90.00 90.00°
Positions (direct):
Ca: 0.000 0.000 0.104
Ca: 0.000 0.000 0.896
Mg: 0.500 0.500 0.500
Mg: 0.500 0.500 0.762
Ca: 0.000 0.000 0.631
Ca: 0.000 0.000 0.369
Au: 0.500 0.500 0.000
Mg: 0.500 0.500 0.238

Number 1 is which compound?
CaMg3Au

Among the records above, which one has the highest V?
Ca4Mg3Au

Please write out number 1 again, unchanged.
Below is an optimized crystal structure of CaMg3Au, with properties calculated at the GGA-PBE level.

* magnetic moment: 0.00 Bohr magnetons per cell
* formation energy from the elements: -0.22 eV per atom
* V: 27.58 A^3/atom
* ΔE to the lowest computed polymorph: 70 kJ/mol of formula units
* calculated total energy: -2.23 eV per atom

Cell: 5.167 5.167 5.167 Å, 90.00 90.00 90.00°
Positions (direct):
Mg: 0.000 0.000 0.500
Ca: 0.500 0.500 0.500
Mg: 0.000 0.500 0.000
Au: 0.000 0.000 0.000
Mg: 0.500 0.000 0.000